{"formula": "PmY10Tm4", "functional": "GGA-PBE", "state": "optimized geometry", "total_energy_ev_per_atom": -5.4649, "e_form_ev_per_atom": 0.354, "volume_a3_per_atom": 33.017, "lattice_angstrom": [[9.520, 0.000, 4.299], [4.760, 6.886, 2.149], [1.926, 0.000, 8.425]], "species": ["Pm", "Y", "Y", "Y", "Y", "Y", "Y", "Y", "Y", "Y", "Y", "Tm", "Tm", "Tm", "Tm"], "frac_coords": [[0.000, 0.000, 0.000], [0.250, 0.500, 0.500], [0.547, 0.327, 0.899], [0.127, 0.101, 0.327], [0.554, 0.899, 0.673], [0.772, 0.673, 0.101], [0.453, 0.673, 0.101], [0.750, 0.500, 0.500], [0.228, 0.327, 0.899], [0.446, 0.101, 0.327], [0.873, 0.899, 0.673], [0.336, 0.735, 0.593], [0.929, 0.407, 0.735], [0.071, 0.593, 0.265], [0.664, 0.265, 0.407]]}